1.
DFT (GGA-PBE) results for an optimized crystal structure of YPt2SeBr.

Computed properties:
space group = P4/mmm, No. 123
raw formation energy = -0.248 eV/atom
total magnetic moment = 0.00 μB/f.u.

```
data_YPt2SeBr
_symmetry_space_group_name_H-M 'P 1'
_symmetry_Int_Tables_number 1
_symmetry_space_group_name_Hall 'P 1'
_cell_length_a 4.710
_cell_length_b 5.565
_cell_length_c 4.710
_cell_angle_alpha 90.00
_cell_angle_beta 90.00
_cell_angle_gamma 90.00
loop_
_atom_site_label
_atom_site_type_symbol
_atom_site_fract_x
_atom_site_fract_y
_atom_site_fract_z
Y1 Y 0.000 0.500 0.000
Se1 Se 0.000 0.000 0.000
Br1 Br 0.500 0.500 0.500
Pt1 Pt 0.000 0.000 0.500
Pt2 Pt 0.500 0.000 0.000
```

=====

2.
DFT (GGA-PBE) results for an optimized crystal structure of Ba12S3O5.

Computed properties:
space group = Ia-3d, No. 230
raw formation energy = -1.652 eV/atom
total magnetic moment = 6.04 μB/f.u.

```
data_Ba12S3O5
_symmetry_space_group_name_H-M 'P 1'
_symmetry_Int_Tables_number 1
_symmetry_space_group_name_Hall 'P 1'
_cell_length_a 15.022
_cell_length_b 15.022
_cell_length_c 15.022
_cell_angle_alpha 109.47
_cell_angle_beta 109.47
_cell_angle_gamma 109.47
loop_
_atom_site_label
_atom_site_type_symbol
_atom_site_fract_x
_atom_site_fract_y
_atom_site_fract_z
S1 S 0.750 0.375 0.125
S2 S 0.875 0.750 0.125
S3 S 0.375 0.750 0.625
S4 S 0.250 0.125 0.375
S5 S 0.875 0.125 0.250
S6 S 0.375 0.625 0.250
S7 S 0.625 0.375 0.750
S8 S 0.125 0.875 0.750
S9 S 0.750 0.875 0.625
S10 S 0.625 0.250 0.375
S11 S 0.125 0.250 0.875
S12 S 0.250 0.625 0.875
O1 O 0.125 0.375 0.250
O2 O 0.000 0.500 0.000
O3 O 0.000 0.000 0.000
O4 O 0.375 0.250 0.125
O5 O 0.500 0.000 0.500
O6 O 0.500 0.500 0.000
O7 O 0.125 0.750 0.375
O8 O 0.750 0.125 0.875
O9 O 0.750 0.625 0.375
O10 O 0.375 0.125 0.750
O11 O 0.625 0.875 0.250
O12 O 0.500 0.500 0.500
O13 O 0.500 0.000 0.000
O14 O 0.000 0.000 0.500
O15 O 0.250 0.375 0.625
O16 O 0.250 0.875 0.125
O17 O 0.000 0.500 0.500
O18 O 0.875 0.250 0.625
O19 O 0.625 0.750 0.875
O20 O 0.875 0.625 0.750
Ba1 Ba 0.705 0.120 0.022
Ba2 Ba 0.317 0.522 0.401
Ba3 Ba 0.978 0.380 0.295
Ba4 Ba 0.522 0.205 0.120
Ba5 Ba 0.585 0.705 0.683
Ba6 Ba 0.978 0.599 0.183
Ba7 Ba 0.317 0.795 0.415
Ba8 Ba 0.099 0.915 0.120
Ba9 Ba 0.599 0.978 0.683
Ba10 Ba 0.705 0.585 0.183
Ba11 Ba 0.795 0.478 0.380
Ba12 Ba 0.817 0.901 0.022
Ba13 Ba 0.120 0.705 0.522
Ba14 Ba 0.380 0.401 0.085
Ba15 Ba 0.085 0.901 0.380
Ba16 Ba 0.415 0.120 0.599
Ba17 Ba 0.085 0.183 0.205
Ba18 Ba 0.478 0.683 0.099
Ba19 Ba 0.817 0.915 0.295
Ba20 Ba 0.120 0.415 0.099
Ba21 Ba 0.380 0.978 0.795
Ba22 Ba 0.599 0.620 0.415
Ba23 Ba 0.901 0.817 0.522
Ba24 Ba 0.795 0.317 0.915
Ba25 Ba 0.401 0.380 0.585
Ba26 Ba 0.099 0.183 0.478
Ba27 Ba 0.205 0.683 0.085
Ba28 Ba 0.183 0.085 0.705
Ba29 Ba 0.620 0.022 0.205
Ba30 Ba 0.880 0.585 0.901
Ba31 Ba 0.522 0.317 0.901
Ba32 Ba 0.585 0.880 0.401
Ba33 Ba 0.915 0.817 0.795
Ba34 Ba 0.915 0.099 0.620
Ba35 Ba 0.880 0.295 0.478
Ba36 Ba 0.183 0.099 0.978
Ba37 Ba 0.620 0.599 0.915
Ba38 Ba 0.401 0.022 0.317
Ba39 Ba 0.295 0.415 0.817
Ba40 Ba 0.205 0.522 0.620
Ba41 Ba 0.901 0.085 0.880
Ba42 Ba 0.683 0.205 0.585
Ba43 Ba 0.478 0.795 0.880
Ba44 Ba 0.022 0.401 0.817
Ba45 Ba 0.415 0.295 0.317
Ba46 Ba 0.022 0.620 0.705
Ba47 Ba 0.683 0.478 0.599
Ba48 Ba 0.295 0.880 0.978
```